The following is a DFT calculation (PBE-GGA) of an optimized crystal structure of LiLaCu.

Geometry as extended XYZ:
```
3
Lattice="4.862 0.000 0.000 2.431 4.211 0.000 2.431 1.404 3.970" Properties=species:S:1:pos:R:3 pbc="T T T"
La 7.293 4.211 2.977
Li 0.000 0.000 0.000
Cu 4.862 2.807 1.985
```

Summary:
SG: F-43m (216)
Crystal system: cubic
Calculated formation energy, meV/atom: 513.3
Relative energy among the computed polymorphs, meV per atom: 584
DOS at the Fermi energy, states/eV/atom: 1.4232
Magnetic moment, Bohr magnetons per cell: 0.000

The following is a DFT calculation (PBE-GGA) of an optimized crystal structure of LiLa2Cu.

Geometry as extended XYZ:
```
4
Lattice="-0.381 1.736 -4.482 -3.903 0.914 0.685 -0.483 5.340 2.109" Properties=species:S:1:pos:R:3 pbc="T T T"
La -4.257 5.828 2.619
Li -2.910 3.339 1.541
La -1.421 2.841 -1.372
Cu -2.757 5.361 -0.283
```

Summary:
SG: Pm (6)
Crystal system: monoclinic
Calculated formation energy, meV/atom: 18.9
Relative energy among the computed polymorphs, meV per atom: 47
DOS at the Fermi energy, states/eV/atom: 0.9192
Magnetic moment, Bohr magnetons per cell: 0.000